DFT (GGA-PBEsol) results for a relaxed LiAlNi6 crystal.

Calculated values
The total magnetization comes out at 2.259 μB per formula unit. For the formation energy, the calculation gives -0.188 eV per atom.

```
data_LiAlNi6
_cell_length_a 6.976
_cell_length_b 9.880
_cell_length_c 9.882
_cell_angle_alpha 90.00
_cell_angle_beta 90.00
_cell_angle_gamma 90.00
_symmetry_space_group_name_H-M 'C m m m'
_symmetry_Int_Tables_number 65
_symmetry_space_group_name_Hall '-C 2 2'
loop_
_atom_site_label
_atom_site_type_symbol
_atom_site_fract_x
_atom_site_fract_y
_atom_site_fract_z
Li1 Li 0.000 0.000 0.250
Li2 Li 0.000 0.251 0.000
Al1 Al 0.000 0.250 0.500
Al2 Al 0.000 0.500 0.249
Ni1 Ni 0.000 0.000 0.000
Ni2 Ni 0.000 0.000 0.500
Ni3 Ni 0.000 0.251 0.248
Ni4 Ni 0.000 0.500 0.000
Ni5 Ni 0.000 0.500 0.500
Ni6 Ni 0.249 0.125 0.124
Ni7 Ni 0.250 0.125 0.374
```